[1]
Compound: MgZrTl2
Source: the Alexandria database
Functional: GGA-PBE
Structure: relaxed

## Properties
Total magnetization: 0.00 Bohr magnetons per cell
Calculated density: 9.21 g cm⁻³
Formation enthalpy at 0 K: 0.51 kJ/mol of atoms

Unit cell a=4.1590 b=4.3722 c=10.3935 alpha=90.00 beta=90.00 gamma=90.00
Closest atoms and distances in Å follow each position.
Space group Imm2 (No. 44)
Asymmetric unit:
1 Mg 0.0000 0.0000 0.0000 (multiplicity 2)  6 Tl 3.02-3.32, 2 Zr 3.33
2 Zr 0.0000 0.5000 0.2498 (multiplicity 2)  6 Tl 3.02-3.33, 2 Mg 3.33
3 Tl 0.0000 0.0000 0.4996 (multiplicity 2)  4 Mg 3.02, 2 Zr 3.33, 2 Tl 3.33
4 Tl 0.0000 0.5000 0.7491 (multiplicity 2)  4 Zr 3.02, 2 Mg 3.32, 2 Tl 3.33

---

[2]
Compound: LaMgAg2
Source: the Alexandria database
Functional: GGA-PBE
Structure: relaxed

## Properties
Total magnetization: 0.00 Bohr magnetons per cell
Calculated density: 6.71 g cm⁻³
Formation enthalpy at 0 K: -11.92 kJ/mol of atoms

Unit cell a=5.1696 b=5.1696 c=7.0206 alpha=90.00 beta=90.00 gamma=90.00
Closest atoms and distances in Å follow each position.
Space group I-4m2 (No. 119)
Asymmetric unit:
1 La 0.0000 0.0000 0.0000 (multiplicity 2)  4 Mg 3.12, 4 Ag 3.12
2 Mg 0.0000 0.5000 0.2500 (multiplicity 2)  4 Ag 3.12, 4 La 3.12
3 Ag 0.0000 0.0000 0.5000 (multiplicity 2)  4 Mg 3.12, 4 Ag 3.12
4 Ag 0.0000 0.5000 0.7500 (multiplicity 2)  4 La 3.12, 4 Ag 3.12

---

[3]
Compound: LaPIrCl2
Source: the Alexandria database
Functional: GGA-PBE
Structure: relaxed

## Properties
Total magnetization: 0.00 Bohr magnetons per cell
Calculated density: 6.53 g cm⁻³
Energy above the lowest structure with this stoichiometry: 0 meV per atom

Unit cell a=4.8085 b=4.8085 c=4.7614 alpha=90.00 beta=90.00 gamma=90.00
Closest atoms and distances in Å follow each position.
Space group P4/mmm (No. 123)
Asymmetric unit:
1 La 0.0000 0.0000 0.0000 (multiplicity 1)  8 Cl 3.38, 4 P 3.40
2 P 0.5000 0.5000 0.0000 (multiplicity 1)  2 Ir 2.38
3 Ir 0.5000 0.5000 0.5000 (multiplicity 1)  2 P 2.38, 4 Cl 2.40
4 Cl 0.0000 0.5000 0.5000 (multiplicity 2)  2 Ir 2.40

---

[4]
Compound: Rb2BiPtBr6
Source: the Alexandria database
Functional: GGA-PBE
Structure: relaxed

## Properties
Total magnetization: 0.00 Bohr magnetons per cell
Electronic total energy: -3.0925 eV per atom
Calculated density: 5.06 g cm⁻³

Unit cell a=7.9032 b=7.9032 c=11.0862 alpha=90.00 beta=90.00 gamma=90.00
Closest atoms and distances in Å follow each position.
Space group I4/mmm (No. 139)
Asymmetric unit:
1 Rb 0.0000 0.5000 0.2500 (multiplicity 4)  12 Br 3.94-3.95
2 Bi 0.0000 0.0000 0.0000 (multiplicity 2)  6 Br 2.91-2.92
3 Pt 0.0000 0.0000 0.5000 (multiplicity 2)  6 Br 2.63-2.67
4 Br 0.0000 0.0000 0.2626 (multiplicity 4)  1 Pt 2.63, 1 Bi 2.91
5 Br 0.2389 0.2389 0.5000 (multiplicity 8)  1 Pt 2.67, 1 Bi 2.92

---

[5]
Compound: LaYTh2
Source: the Alexandria database
Functional: GGA-PBE
Structure: relaxed

## Properties
Total magnetization: 0.00 Bohr magnetons per cell
Calculated density: 8.56 g cm⁻³
Energy above the lowest structure with this stoichiometry: 149 meV per atom
Formation enthalpy at 0 K: 16.92 kJ/mol of atoms

Unit cell a=3.5182 b=3.5182 c=37.5448 alpha=90.00 beta=90.00 gamma=120.00
Closest atoms and distances in Å follow each position.
Space group R-3m (No. 166, hexagonal axes)
Asymmetric unit:
1 La 0.0000 0.0000 0.0000 (multiplicity 3)  2 Th 3.31, 6 La 3.52
2 Y 0.0000 0.0000 0.5000 (multiplicity 3)  6 Y 3.52, 6 Th 3.58
3 Th 0.0000 0.0000 0.0883 (multiplicity 6)  1 La 3.31, 6 Th 3.52, 3 Y 3.58

---

[6]
Compound: ReAg2Pt
Source: the Alexandria database
Functional: GGA-PBE
Structure: relaxed

## Properties
Total magnetization: 1.26 Bohr magnetons per cell
Calculated density: 14.64 g cm⁻³
Energy above the lowest structure with this stoichiometry: 331 meV per atom
Formation enthalpy at 0 K: 49.41 kJ/mol of atoms

Unit cell a=2.7760 b=4.9314 c=9.8932 alpha=90.00 beta=90.00 gamma=90.00
Closest atoms and distances in Å follow each position.
Space group Imm2 (No. 44)
Asymmetric unit:
1 Re 0.0000 0.0000 0.0000 (multiplicity 2)  2 Pt 2.58, 2 Re 2.78, 4 Ag 2.84
2 Ag 0.0000 0.0000 0.5261 (multiplicity 2)  4 Ag 2.78-3.00, 4 Re 2.84, 2 Pt 2.87
3 Ag 0.0000 0.5000 0.7574 (multiplicity 2)  4 Ag 2.78-3.00, 4 Pt 2.84, 2 Re 2.90
4 Pt 0.0000 0.5000 0.2805 (multiplicity 2)  2 Re 2.58, 2 Pt 2.78, 6 Ag 2.84-2.87

---

[7]
Compound: Pm3TmIn2
Source: the Alexandria database
Functional: GGA-PBE
Structure: relaxed

## Properties
Total magnetization: 0.00 Bohr magnetons per cell
Calculated density: 7.72 g cm⁻³
Energy above the lowest structure with this stoichiometry: 0 meV per atom
Formation enthalpy at 0 K: -33.86 kJ/mol of atoms

Unit cell a=5.2811 b=10.0012 c=6.7900 alpha=90.00 beta=90.00 gamma=90.00
Closest atoms and distances in Å follow each position.
Space group Pmc2_1 (No. 26)
Asymmetric unit:
1 Pm 0.0000 0.0338 0.0000 (multiplicity 2)  5 In 3.31-3.64, 4 Pm 3.46-3.55
2 Pm 0.0000 0.3275 0.3380 (multiplicity 2)  5 In 3.17-3.50, 2 Tm 3.51
3 Pm 0.5000 0.1827 0.7273 (multiplicity 2)  5 In 3.22-3.53, 2 Pm 3.55, 1 Tm 3.61
4 Tm 0.5000 0.4631 0.0623 (multiplicity 2)  5 In 3.28-3.66, 2 Tm 3.47, 3 Pm 3.51-3.61
5 In 0.0000 0.3556 0.8239 (multiplicity 2)  6 Pm 3.17-3.50, 2 Tm 3.28
6 In 0.5000 0.1467 0.2438 (multiplicity 2)  9 Pm 3.26-3.64, 1 Tm 3.40

---

[8]
Compound: SrMnHgGe2
Source: the Alexandria database
Functional: GGA-PBE
Structure: relaxed

## Properties
Total magnetization: 0.81 Bohr magnetons per cell
Calculated density: 7.21 g cm⁻³
Formation enthalpy at 0 K: -14.76 kJ/mol of atoms

Unit cell a=4.6568 b=4.6568 c=5.1862 alpha=90.00 beta=90.00 gamma=90.00
Closest atoms and distances in Å follow each position.
Space group P4/mmm (No. 123)
Asymmetric unit:
1 Sr 0.0000 0.0000 0.0000 (multiplicity 1)  4 Hg 3.29, 8 Ge 3.49
2 Mn 0.5000 0.5000 0.5000 (multiplicity 1)  4 Ge 2.33, 2 Hg 2.59
3 Hg 0.5000 0.5000 0.0000 (multiplicity 1)  2 Mn 2.59
4 Ge 0.0000 0.5000 0.5000 (multiplicity 2)  2 Mn 2.33

---

[9]
Compound: La5Nd4Sm3
Source: the Alexandria database
Functional: GGA-PBE
Structure: relaxed

## Properties
Total magnetization: 0.00 Bohr magnetons per cell
Calculated density: 6.69 g cm⁻³
Energy above the lowest structure with this stoichiometry: 0 meV per atom
Formation enthalpy at 0 K: 1.51 kJ/mol of atoms

Unit cell a=6.3922 b=7.3723 c=9.0686 alpha=90.07 beta=90.06 gamma=90.13
Closest atoms and distances in Å follow each position.
Space group P-1 (No. 2)
Asymmetric unit:
1 La 0.0000 0.0000 0.0000 (multiplicity 1)  4 Sm 3.69-3.70, 4 La 3.69-3.70, 4 Nd 3.70-3.71
2 La 0.3323 0.5004 0.3338 (multiplicity 2)  5 Nd 3.68-3.71, 4 Sm 3.69-3.70, 3 La 3.70
3 La 0.4996 0.2509 0.9996 (multiplicity 2)  6 La 3.67-3.70, 3 Sm 3.69-3.70, 3 Nd 3.71-3.72
4 Nd 0.1662 0.7507 0.6658 (multiplicity 2)  3 Nd 3.68-3.70, 4 Sm 3.68-3.71, 5 La 3.68-3.71
5 Nd 0.3346 0.9996 0.3349 (multiplicity 2)  4 Nd 3.66-3.70, 5 La 3.68-3.72, 3 Sm 3.68-3.69
6 Sm 0.0000 0.5000 0.0000 (multiplicity 1)  8 La 3.69-3.70, 2 Sm 3.70, 2 Nd 3.71
7 Sm 0.1666 0.2498 0.6663 (multiplicity 2)  6 Nd 3.68-3.69, 5 La 3.69-3.70, 1 Sm 3.70

---

[10]
Compound: Nb2InFeCu
Source: the Alexandria database
Functional: GGA-PBE
Structure: relaxed

## Properties
Total magnetization: 0.00 Bohr magnetons per cell
Calculated density: 6.07 g cm⁻³
Formation enthalpy at 0 K: 203.60 kJ/mol of atoms

Unit cell a=5.0362 b=5.0362 c=4.5331 alpha=90.00 beta=90.00 gamma=90.00
Closest atoms and distances in Å follow each position.
Space group P4/mmm (No. 123)
Asymmetric unit:
1 Nb 0.0000 0.5000 0.0000 (multiplicity 2)  2 In 2.52
2 In 0.0000 0.0000 0.0000 (multiplicity 1)  2 Fe 2.27, 4 Nb 2.52
3 Fe 0.0000 0.0000 0.5000 (multiplicity 1)  2 In 2.27
4 Cu 0.5000 0.5000 0.5000 (multiplicity 1)  8 Nb 3.39, 4 Fe 3.56

---

[11]
Compound: NdGdAl
Source: the Alexandria database
Functional: GGA-PBE
Structure: relaxed

## Properties
Total magnetization: 7.22 Bohr magnetons per cell
Calculated density: 6.57 g cm⁻³
Energy above the lowest structure with this stoichiometry: 0 meV per atom
Formation enthalpy at 0 K: -13.98 kJ/mol of atoms

Unit cell a=5.1340 b=5.1340 c=3.6375 alpha=90.00 beta=90.00 gamma=120.00
Closest atoms and distances in Å follow each position.
Space group P3m1 (No. 156)
Asymmetric unit:
1 Nd 0.0000 0.0000 0.0000 (multiplicity 1)  3 Al 3.18, 3 Gd 3.34
2 Gd 0.6667 0.3333 0.4206 (multiplicity 1)  3 Al 3.12, 3 Nd 3.34
3 Al 0.3333 0.6667 0.6842 (multiplicity 1)  3 Gd 3.12, 3 Nd 3.18

---

[12]
Compound: Bi2PbI
Source: the Alexandria database
Functional: GGA-PBE
Structure: relaxed

## Properties
Total magnetization: 0.00 Bohr magnetons per cell
Calculated density: 9.77 g cm⁻³
Energy above the lowest structure with this stoichiometry: 0 meV per atom

Unit cell a=7.9971 b=7.9971 c=7.9971 alpha=90.00 beta=90.00 gamma=90.00
Closest atoms and distances in Å follow each position.
Space group Fm-3m (No. 225)
Asymmetric unit:
1 Bi 0.2500 0.2500 0.2500 (multiplicity 8)  4 Pb 3.46, 4 I 3.46
2 Pb 0.0000 0.0000 0.0000 (multiplicity 4)  8 Bi 3.46
3 I 0.0000 0.0000 0.5000 (multiplicity 4)  8 Bi 3.46